The following is a PBE calculation of a relaxed structure of Fe, from Alexandria via LeMat-Bulk.

abc: 4.8783 4.8783 4.8783
angles: 90.00 90.00 90.00
With the nearest neighbours (Å) after each atom.
Positions (direct):
Fe: 0.1250 0.1250 0.1250  4 Fe 2.11
Fe: 0.1250 0.6250 0.6250  4 Fe 2.11
Fe: 0.3750 0.3750 0.8750  4 Fe 2.11
Fe: 0.3750 0.8750 0.3750  4 Fe 2.11
Fe: 0.6250 0.1250 0.6250  4 Fe 2.11
Fe: 0.6250 0.6250 0.1250  4 Fe 2.11
Fe: 0.8750 0.3750 0.3750  4 Fe 2.11
Fe: 0.8750 0.8750 0.8750  4 Fe 2.11

Calculated values
Its crystal system is cubic. Its symmetry is No. 227. The size of the total moment is 0.0 μB/cell. The calculation puts the density of states at the Fermi level at 1.3 states/eV/f.u. The raw total energy is -57.38 eV/cell.